YTa2Hg (PBE, optimized geometry); space group = Immm, No. 71; energy of formation from the pure elements = 0.3105 eV per atom
1.0
-1.692 2.419 5.263
1.692 -2.419 5.263
1.692 2.419 -5.263
Y Ta Hg
1 2 1
direct
0.000 0.000 0.000
0.263 0.763 0.500
0.737 0.237 0.500
0.500 0.500 0.000